Compound: LaAgS2
Source: Alexandria via LeMat-Bulk
Functional: PBE
Structure: relaxed

Properties
* total energy: -21.49 eV/f.u.
* DOS at the Fermi energy: 0.0 states/eV/f.u.
* E_form (uncorrected): -1363.3 meV/atom

Lattice parameters (Å, degrees): 4.229 5.583 9.288 90.00 92.09 90.00
Space group P2_1 (No. 4)
Inequivalent atoms, fractional coordinates:
La: 0.237 0.000 0.359 [2 per cell]
Ag: 0.186 0.254 0.026 [2 per cell]
S: 0.244 0.502 0.430 [2 per cell]
S: 0.281 0.577 0.852 [2 per cell]